Entry 1:
KP2SBr after structural relaxation. Source: the Alexandria database, functional GGA-PBEsol.

For the uncorrected formation energy, the calculation gives 0.81 eV per atom. The calculation puts the total magnetization at 0.294 μB per atom.

The space group is P4/mmm (No. 123) and the conventional cell measures 5.030, 5.030 and 5.059 Å, with angles of 90.00, 90.00 and 90.00 degrees. The distinct sites, in fractional coordinates, are K at (0.000, 0.000, 0.000), P at (0.000, 0.500, 0.500), S at (0.500, 0.500, 0.000) and Br at (0.500, 0.500, 0.500).

Entry 2:
KTlP2Br after structural relaxation. Source: the Alexandria database, functional GGA-PBEsol.

For the uncorrected formation energy, the calculation gives 0.47 eV per atom. The calculation puts the total magnetization at 0.258 μB per atom.

The space group is P4/mmm (No. 123) and the conventional cell measures 4.980, 4.980 and 7.902 Å, with angles of 90.00, 90.00 and 90.00 degrees. The distinct sites, in fractional coordinates, are K at (0.000, 0.000, 0.000), Tl at (0.000, 0.000, 0.500), P at (0.000, 0.500, 0.500) and Br at (0.500, 0.500, 0.000).